First-principles (SCAN) data for Ca4MoRh at its PBEsol-relaxed geometry, as listed in the Alexandria database.

Unit cell a=5.9757 b=5.9757 c=5.9757 alpha=60.00 beta=60.00 gamma=60.00
Last column: nearest neighbours and their distance in Å.
Fractional coordinates of all 6 atoms:
Ca1 0.8765 0.3745 0.3745  6 Ca 2.98-3.00
Ca2 0.3745 0.3745 0.8765  6 Ca 2.98-3.00
Ca3 0.3745 0.8765 0.3745  6 Ca 2.98-3.00
Ca4 0.3745 0.3745 0.3745  6 Ca 2.98-3.00
Mo1 0.7500 0.7500 0.7500  12 Ca 3.50, 4 Rh 3.66
Rh1 0.0000 0.0000 0.0000  12 Ca 3.50, 4 Mo 3.66

Values from the calculation:
Density of states at the Fermi level, states/eV/cell: 6.5
ΔE_f, eV per atom: 1.1429
Calculated volume, Å³ per cell: 150.9


First-principles (SCAN) data for InWBr2F at its PBEsol-relaxed geometry, as listed in the Alexandria database.

Unit cell a=5.2201 b=5.2201 c=5.6053 alpha=90.00 beta=90.00 gamma=90.00
Last column: nearest neighbours and their distance in Å.
Fractional coordinates of all 5 atoms:
Br1 0.0000 0.5000 0.0000  2 In 2.61
Br2 0.5000 0.0000 0.0000  2 In 2.61
F1 0.5000 0.5000 0.5000  4 W 3.69, 8 Br 3.83
W1 0.0000 0.0000 0.5000  2 In 2.80
In1 0.0000 0.0000 0.0000  4 Br 2.61, 2 W 2.80

Values from the calculation:
Density of states at the Fermi level, states/eV/cell: 4.4
Formation energy without anion corrections, eV/atom: 1.01
Calculated volume, Å³ per cell: 152.7


First-principles (SCAN) data for Hf3Ga at its PBEsol-relaxed geometry, as listed in the Alexandria database.

Unit cell a=4.1485 b=4.1485 c=5.3871 alpha=112.65 beta=112.65 gamma=90.00
Last column: nearest neighbours and their distance in Å.
Fractional coordinates of all 4 atoms:
Hf1 0.7500 0.2500 0.5000  8 Hf 2.93-3.07, 4 Ga 3.07
Hf2 0.2500 0.7500 0.5000  8 Hf 2.93-3.07, 4 Ga 3.07
Hf3 0.5000 0.5000 0.0000  4 Ga 2.93, 8 Hf 3.07
Ga1 0.0000 0.0000 0.0000  12 Hf 2.93-3.07

Values from the calculation:
Density of states at the Fermi level, states/eV/cell: 3.2
ΔE_f, eV per atom: -0.2946
Calculated volume, Å³ per cell: 77.8